# Nd4Dy4Ho3

A geometry-optimized Nd4Dy4Ho3 structure (PBE-GGA, Alexandria).

abc: 3.6105 9.4301 21.7639
angles: 90.00 90.00 90.00
Space group Immm (No. 71)
One atom of each set of equivalent atoms:
1 Nd 0.0000 0.1781 0.1444 [8 per cell]
2 Dy 0.0000 0.3172 0.0000 [4 per cell]
3 Dy 0.0000 0.5000 0.2393 [4 per cell]
4 Ho 0.0000 0.0000 0.3931 [4 per cell]
5 Ho 0.0000 0.5000 0.5000 [2 per cell]

Values from the calculation:
The density of states at the Fermi level is 17.944 states/eV/f.u. Its total magnetization is 0.00 μB per formula unit. As for the formation energy: 0.123 eV/atom. Its raw total energy is -99.72 eV/cell. Its crystal system is orthorhombic. The calculation puts the energy relative to the lowest polymorph listed for this composition at 0.061 eV per atom.